[1]
A relaxed CrInW2 crystal. Source: Alexandria via LeMat-Bulk, functional PBE-GGA.

Computed properties:
- energy of formation (meV per atom) = 363
- SG = P4mm
- calculated total energy (eV per atom) = -9.204
- total magnetic moment (μB/cell) = 2.6

The structure in POSCAR format:
```
CrInW2
1.0
-1.215 -1.312 2.670
-1.779 -1.990 -1.788
4.796 -4.335 0.053
W Cr In
2 1 1
direct
0.500 0.500 0.255
0.000 0.000 0.028
0.000 0.000 0.476
0.500 0.500 0.741
```

---

[2]
A relaxed BaMgCd2In4 crystal. Source: Alexandria via LeMat-Bulk, functional PBE-GGA.

Computed properties:
- energy of formation (meV per atom) = -174
- SG = R-3m
- calculated total energy (eV per atom) = -2.211
- total magnetic moment (μB/cell) = 0.0

The structure in POSCAR format:
```
BaMgCd2In4
1.0
5.091 0.000 0.000
2.546 4.409 0.000
2.546 1.470 10.095
Cd In Ba Mg
2 4 1 1
direct
0.754 0.754 0.739
0.246 0.246 0.261
0.600 0.600 0.200
0.400 0.400 0.800
0.868 0.868 0.395
0.132 0.132 0.605
0.000 0.000 0.000
0.500 0.500 0.500
```

---

[3]
A relaxed Tb8Y6In crystal. Source: Alexandria via LeMat-Bulk, functional PBE-GGA.

Computed properties:
- energy of formation (meV per atom) = 78
- SG = P-3
- calculated total energy (eV per atom) = -5.160
- total magnetic moment (μB/cell) = 0.0

The structure in POSCAR format:
```
Tb8Y6In
1.0
-1.460 -5.041 -3.650
8.416 0.479 -4.029
-1.220 -5.198 7.667
Tb In Y
8 1 6
direct
0.816 0.041 0.267
0.184 0.267 0.227
0.184 0.773 0.041
0.181 0.667 0.333
0.816 0.733 0.773
0.184 0.959 0.733
0.816 0.227 0.959
0.819 0.333 0.667
0.500 0.000 0.000
0.677 0.644 0.093
0.323 0.356 0.907
0.323 0.551 0.644
0.677 0.907 0.551
0.677 0.449 0.356
0.323 0.093 0.449
```

---

[4]
A relaxed PrDy3Er4 crystal. Source: Alexandria via LeMat-Bulk, functional PBE-GGA.

Computed properties:
- energy of formation (meV per atom) = 228
- energy above the lowest structure with this stoichiometry (meV per atom) = 217
- SG = Cmmm
- calculated total energy (eV per atom) = -4.377
- total magnetic moment (μB/cell) = 0.0

The structure in POSCAR format:
```
PrDy3Er4
1.0
-5.024 -2.509 -0.456
0.559 -1.674 3.060
-3.028 11.173 6.677
Er Dy Pr
4 3 1
direct
0.394 0.500 0.789
0.276 0.499 0.552
0.724 0.501 0.448
0.606 0.500 0.211
0.000 0.500 0.000
0.157 0.001 0.313
0.843 0.999 0.687
0.500 0.000 0.000
```

---

[5]
A relaxed Sc2TlAu crystal. Source: Alexandria via LeMat-Bulk, functional PBE-GGA.

Computed properties:
- energy of formation (meV per atom) = -419
- SG = Imm2
- calculated total energy (eV per atom) = -4.995
- total magnetic moment (μB/cell) = 0.0

The structure in POSCAR format:
```
Sc2TlAu
1.0
-2.995 4.676 -2.488
-3.876 -0.772 -4.626
1.469 -1.479 5.716
Tl Sc Au
1 2 1
direct
0.476 0.476 0.000
0.754 0.254 0.500
0.027 0.027 0.000
0.243 0.743 0.500
```

---

[6]
A relaxed CaCrS3 crystal. Source: Alexandria via LeMat-Bulk, functional PBE-GGA.

Computed properties:
- formation energy without anion corrections (eV per formula unit) = 1.69
- energy above the lowest structure with this stoichiometry (meV per atom) = 1147
- SG = Pm-3m
- calculated total energy (eV per atom) = -4.463
- total magnetic moment (μB/cell) = 2.0

The structure in POSCAR format:
```
CaCrS3
1.0
-4.569 -1.895 1.508
2.248 -4.517 1.134
0.901 1.657 4.815
Ca Cr S
1 1 3
direct
0.000 0.000 0.000
0.500 0.500 0.500
0.500 0.000 0.000
0.000 0.500 0.000
0.000 0.000 0.500
```